1.
First-principles (PBE) data for an optimized crystal structure of Ti7Zn2Mo, as listed in the Alexandria database.

Cell lengths 6.6020, 6.6020, 6.6020 Å; angles 60.00, 60.00, 60.00 degrees
Fractional positions:
Ti 0.0000 0.0000 0.0000
Ti 0.2475 0.2475 0.7525
Ti 0.2475 0.7525 0.2475
Ti 0.2475 0.7525 0.7525
Ti 0.7525 0.2475 0.2475
Ti 0.7525 0.2475 0.7525
Ti 0.7525 0.7525 0.2475
Zn 0.2500 0.2500 0.2500
Zn 0.7500 0.7500 0.7500
Mo 0.5000 0.5000 0.5000

Results
V = 203 Å³ per cell
D(E_F) = 16.32 states/eV per cell
symmetry = Fm-3m (225)
total magnetization = 2.80 μB per cell
calculated formation energy = 0.8511 eV/atom

2.
First-principles (PBE) data for an optimized crystal structure of Mn2TcP, as listed in the Alexandria database.

Cell lengths 4.0495, 4.0495, 4.0495 Å; angles 60.00, 60.00, 60.00 degrees
Fractional positions:
Mn 0.2500 0.2500 0.2500
Mn 0.7500 0.7500 0.7500
Tc 0.0000 0.0000 0.0000
P 0.5000 0.5000 0.5000

Results
V = 47 Å³ per cell
D(E_F) = 4.34 states/eV per cell
relative energy among the computed polymorphs = 0.325 eV per atom
symmetry = Fm-3m (225)
total magnetization = 0.00 μB per cell
calculated formation energy = 0.0691 eV/atom

3.
First-principles (PBE) data for an optimized crystal structure of Zr2OsCl, as listed in the Alexandria database.

Cell lengths 4.1557, 4.1557, 8.2712 Å; angles 114.73, 114.73, 46.02 degrees
Fractional positions:
Zr 0.1891 0.1891 0.3064
Zr 0.8109 0.8109 0.6936
Os 0.0000 0.0000 0.5000
Cl 0.5000 0.5000 0.0000

Results
V = 92 Å³ per cell
D(E_F) = 1.68 states/eV per cell
relative energy among the computed polymorphs = 0.110 eV per atom
symmetry = C2/m (12)
total magnetization = 0.00 μB per cell
formation energy (no corrections) = -55.0 kJ/mol of atoms

4.
First-principles (PBE) data for an optimized crystal structure of Sc2Si2Au, as listed in the Alexandria database.

Cell lengths 6.5922, 6.5922, 4.0560 Å; angles 90.00, 90.00, 90.00 degrees
Fractional positions:
Sc 0.1723 0.3277 0.0000
Sc 0.3277 0.8277 0.0000
Sc 0.6723 0.1723 0.0000
Sc 0.8277 0.6723 0.0000
Si 0.1267 0.6267 0.5000
Si 0.3733 0.1267 0.5000
Si 0.6267 0.8733 0.5000
Si 0.8733 0.3733 0.5000
Au 0.0000 0.0000 0.5000
Au 0.5000 0.5000 0.5000

Results
V = 176 Å³ per cell
D(E_F) = 6.77 states/eV per cell
relative energy among the computed polymorphs = 0.000 eV per atom
symmetry = P4/mbm (127)
total magnetization = 0.00 μB per cell
formation energy (no corrections) = -76.4 kJ/mol of atoms

5.
First-principles (PBE) data for an optimized crystal structure of Tl3GaSb2Au6, as listed in the Alexandria database.

Cell lengths 6.5150, 6.5150, 9.3994 Å; angles 90.00, 90.00, 120.00 degrees
Fractional positions:
Tl 0.0000 0.0000 0.0000
Tl 0.3333 0.6667 0.5733
Tl 0.6667 0.3333 0.4267
Ga 0.0000 0.0000 0.5000
Sb 0.3333 0.6667 0.1159
Sb 0.6667 0.3333 0.8841
Au 0.1488 0.2976 0.2891
Au 0.1488 0.8512 0.2891
Au 0.2976 0.1488 0.7109
Au 0.7024 0.8512 0.2891
Au 0.8512 0.1488 0.7109
Au 0.8512 0.7024 0.7109

Results
V = 346 Å³ per cell
D(E_F) = 6.53 states/eV per cell
symmetry = P-3m1 (164)
total magnetization = 0.00 μB per cell
formation energy (no corrections) = -0.6 kJ/mol of atoms

6.
First-principles (PBE) data for an optimized crystal structure of Ti7Bi2Te2, as listed in the Alexandria database.

Cell lengths 6.4638, 6.4638, 5.9308 Å; angles 99.48, 99.48, 80.69 degrees
Fractional positions:
Ti 0.0000 0.0000 0.0000
Ti 0.0425 0.4294 0.2717
Ti 0.4294 0.0425 0.2717
Ti 0.4929 0.4929 0.7238
Ti 0.5071 0.5071 0.2762
Ti 0.5706 0.9575 0.7283
Ti 0.9575 0.5706 0.7283
Bi 0.1941 0.8059 0.5000
Bi 0.8059 0.1941 0.5000
Te 0.2731 0.2731 0.9177
Te 0.7269 0.7269 0.0823

Results
V = 239 Å³ per cell
D(E_F) = 13.44 states/eV per cell
symmetry = C2/m (12)
total magnetization = 1.45 μB per cell
formation energy (no corrections) = -1.4 kJ/mol of atoms

7.
First-principles (PBE) data for an optimized crystal structure of Ca2Ni2Ge3, as listed in the Alexandria database.

Cell lengths 5.6958, 5.6958, 6.9928 Å; angles 117.85, 117.85, 41.00 degrees
Fractional positions:
Ca 0.1430 0.1430 0.2715
Ca 0.8570 0.8570 0.7285
Ni 0.1238 0.1238 0.7165
Ni 0.8762 0.8762 0.2835
Ge 0.3627 0.3627 0.0512
Ge 0.5000 0.5000 0.5000
Ge 0.6373 0.6373 0.9488

Results
V = 129 Å³ per cell
D(E_F) = 3.80 states/eV per cell
symmetry = C2/m (12)
total magnetization = 0.00 μB per cell
calculated formation energy = -0.4542 eV/atom

8.
First-principles (PBE) data for an optimized crystal structure of CaAg2Te, as listed in the Alexandria database.

Cell lengths 4.0823, 4.0823, 5.9543 Å; angles 90.00, 90.00, 90.00 degrees
Fractional positions:
Ca 0.0000 0.0000 0.0000
Ag 0.5000 0.5000 0.2446
Ag 0.5000 0.5000 0.7554
Te 0.0000 0.0000 0.5000

Results
V = 99 Å³ per cell
D(E_F) = 0.67 states/eV per cell
symmetry = P4/mmm (123)
total magnetization = 0.00 μB per cell
formation energy (no corrections) = -37.5 kJ/mol of atoms

9.
First-principles (PBE) data for an optimized crystal structure of BaBe2HgI6, as listed in the Alexandria database.

Cell lengths 9.7405, 9.7405, 11.6079 Å; angles 108.46, 108.46, 81.50 degrees
Fractional positions:
Ba 0.0593 0.9407 0.7500
Ba 0.9407 0.0593 0.2500
Be 0.0722 0.3583 0.7351
Be 0.3583 0.0722 0.2351
Be 0.6417 0.9278 0.7649
Be 0.9278 0.6417 0.2649
Hg 0.4257 0.5743 0.2500
Hg 0.5743 0.4257 0.7500
I 0.1013 0.7953 0.4221
I 0.1378 0.5564 0.7030
I 0.1888 0.2897 0.9156
I 0.2047 0.8987 0.0779
I 0.2897 0.1888 0.4156
I 0.4436 0.8622 0.7970
I 0.5564 0.1378 0.2030
I 0.7103 0.8112 0.5844
I 0.7953 0.1013 0.9221
I 0.8112 0.7103 0.0844
I 0.8622 0.4436 0.2970
I 0.8987 0.2047 0.5779

Results
V = 990 Å³ per cell
D(E_F) = 0.00 states/eV per cell
symmetry = C2/c (15)
total magnetization = 0.00 μB per cell
formation energy (no corrections) = -76.9 kJ/mol of atoms

10.
First-principles (PBE) data for an optimized crystal structure of Nd5Sb4I, as listed in the Alexandria database.

Cell lengths 7.8573, 7.8573, 7.8573 Å; angles 99.52, 99.52, 132.00 degrees
Fractional positions:
Nd 0.0000 0.0000 0.0000
Nd 0.1846 0.6044 0.7890
Nd 0.3956 0.1846 0.5802
Nd 0.6044 0.8154 0.4198
Nd 0.8154 0.3956 0.2110
Sb 0.1046 0.2965 0.4011
Sb 0.2965 0.8954 0.1919
Sb 0.7035 0.1046 0.8081
Sb 0.8954 0.7035 0.5989
I 0.5000 0.5000 0.0000

Results
V = 329 Å³ per cell
D(E_F) = 3.56 states/eV per cell
symmetry = I4/m (87)
total magnetization = 0.00 μB per cell
formation energy (no corrections) = -112.5 kJ/mol of atoms

11.
First-principles (PBE) data for an optimized crystal structure of Ac2Mg6In3, as listed in the Alexandria database.

Cell lengths 8.6890, 8.6890, 4.7686 Å; angles 90.00, 90.00, 120.00 degrees
Fractional positions:
Ac 0.3333 0.6667 0.0000
Ac 0.6667 0.3333 0.0000
Mg 0.0000 0.2005 0.0000
Mg 0.0000 0.7247 0.5000
Mg 0.2005 0.0000 0.0000
Mg 0.2753 0.2753 0.5000
Mg 0.7247 0.0000 0.5000
Mg 0.7995 0.7995 0.0000
In 0.0000 0.3897 0.5000
In 0.3897 0.0000 0.5000
In 0.6103 0.6103 0.5000

Results
V = 312 Å³ per cell
D(E_F) = 6.94 states/eV per cell
symmetry = P-62m (189)
total magnetization = 0.00 μB per cell
calculated formation energy = -0.2183 eV/atom

12.
First-principles (PBE) data for an optimized crystal structure of CaAl2Si2, as listed in the Alexandria database.

Cell lengths 4.1605, 4.1605, 7.0638 Å; angles 90.00, 90.00, 120.00 degrees
Fractional positions:
Ca 0.0000 0.0000 0.0000
Al 0.3333 0.6667 0.6311
Al 0.6667 0.3333 0.3689
Si 0.3333 0.6667 0.2637
Si 0.6667 0.3333 0.7363

Results
V = 106 Å³ per cell
D(E_F) = 1.19 states/eV per cell
symmetry = P-3m1 (164)
total magnetization = 0.00 μB per cell
formation energy (no corrections) = -29.0 kJ/mol of atoms